i | VASP calculation (GGA-PBE) on an optimized crystal structure of CeDySi.

Unit cell a=6.537 b=3.220 c=7.005 alpha=90.00 beta=101.50 gamma=90.00
Space group P2/m (No. 10)
Asymmetric unit:
Ce: 0.062 0.000 0.323 [2 per cell]
Dy: 0.455 0.000 0.754 [2 per cell]
Si: 0.202 0.500 0.999 [2 per cell]

Density (Mg/m³): 7.60
Spin magnetization (μB per cell): 0.0

***

ii | VASP calculation (GGA-PBE) on an optimized crystal structure of CeDySi.

Unit cell a=4.166 b=4.166 c=16.661 alpha=90.00 beta=90.00 gamma=90.00
Space group I4/mmm (No. 139)
Asymmetric unit:
Ce: 0.000 0.500 0.000 [4 per cell]
Dy: 0.000 0.000 0.180 [4 per cell]
Si: 0.000 0.000 0.361 [4 per cell]

Density (Mg/m³): 7.60
Spin magnetization (μB per cell): 0.0

***

Of them, i has the lowest stability.

***

i | VASP calculation (GGA-PBE) on an optimized crystal structure of CeDy2Si.

Unit cell a=3.4716 b=3.4716 c=32.3426 alpha=90.00 beta=90.00 gamma=120.00
Space group R-3m (No. 166, hexagonal axes)
Asymmetric unit:
Ce: 0.0000 0.0000 0.0000 [3 per cell]
Dy: 0.0000 0.0000 0.1042 [6 per cell]
Si: 0.0000 0.0000 0.5000 [3 per cell]

Density (Mg/m³): 7.28
Spin magnetization (μB per cell): 3.0

***

ii | VASP calculation (GGA-PBE) on an optimized crystal structure of CeDy2Si.

Unit cell a=4.680 b=4.680 c=4.461 alpha=90.00 beta=90.00 gamma=90.00
Space group P4/mmm (No. 123)
Asymmetric unit:
Ce: 0.000 0.000 0.000 [1 per cell]
Dy: 0.000 0.500 0.500 [2 per cell]
Si: 0.500 0.500 0.000 [1 per cell]

Density (Mg/m³): 8.38
Spin magnetization (μB per cell): 0.0

***

Of them, i has the lowest stability.

***

i | VASP calculation (GGA-PBE) on an optimized crystal structure of CeSm2Dy.

Unit cell a=3.5737 b=3.5737 c=34.9709 alpha=90.00 beta=90.00 gamma=120.00
Space group R3m (No. 160, hexagonal axes)
Asymmetric unit:
Ce: 0.0000 0.0000 0.0000 [3 per cell]
Sm: 0.0000 0.0000 0.2505 [3 per cell]
Sm: 0.0000 0.0000 0.4171 [3 per cell]
Dy: 0.0000 0.0000 0.8338 [3 per cell]

Density (Mg/m³): 7.77
Spin magnetization (μB per cell): 2.3

***

ii | VASP calculation (GGA-PBE) on an optimized crystal structure of CeSm2Dy.

Unit cell a=5.052 b=5.052 c=5.062 alpha=90.00 beta=90.00 gamma=90.00
Space group P4/mmm (No. 123)
Asymmetric unit:
Ce: 0.000 0.000 0.000 [1 per cell]
Sm: 0.000 0.500 0.500 [2 per cell]
Dy: 0.500 0.500 0.000 [1 per cell]

Density (Mg/m³): 7.76
Spin magnetization (μB per cell): 0.6

***

Of them, ii has the lowest stability.

***

i | VASP calculation (GGA-PBE) on an optimized crystal structure of CeSm2Dy.

Unit cell a=3.4510 b=3.4510 c=37.3378 alpha=90.00 beta=90.00 gamma=120.00
Space group R-3m (No. 166, hexagonal axes)
Asymmetric unit:
Ce: 0.0000 0.0000 0.0000 [3 per cell]
Sm: 0.0000 0.0000 0.0884 [6 per cell]
Dy: 0.0000 0.0000 0.5000 [3 per cell]

Density (Mg/m³): 7.80
Spin magnetization (μB per cell): 2.4

***

ii | VASP calculation (GGA-PBE) on an optimized crystal structure of CeSm2Dy.

Unit cell a=8.090 b=8.090 c=8.090 alpha=90.00 beta=90.00 gamma=90.00
Space group Fm-3m (No. 225)
Asymmetric unit:
Ce: 0.000 0.000 0.000 [4 per cell]
Sm: 0.250 0.250 0.250 [8 per cell]
Dy: 0.000 0.000 0.500 [4 per cell]

Density (Mg/m³): 7.57
Spin magnetization (μB per cell): 12.9

***

iii | VASP calculation (GGA-PBE) on an optimized crystal structure of CeSm2Dy.

Unit cell a=3.557 b=3.557 c=10.151 alpha=90.00 beta=90.00 gamma=90.00
Space group P4/mmm (No. 123)
Asymmetric unit:
Ce: 0.000 0.000 0.000 [1 per cell]
Sm: 0.500 0.500 0.245 [2 per cell]
Dy: 0.000 0.000 0.500 [1 per cell]

Density (Mg/m³): 7.80
Spin magnetization (μB per cell): 0.6

***

Of them, ii has the lowest stability.

***

i | VASP calculation (GGA-PBE) on an optimized crystal structure of CeSm2Dy6.

Unit cell a=7.3160 b=7.3160 c=18.9294 alpha=90.00 beta=90.00 gamma=120.00
Space group R3m (No. 160, hexagonal axes)
Asymmetric unit:
Ce: 0.0000 0.0000 0.0000 [3 per cell]
Sm: 0.0000 0.0000 0.2613 [3 per cell]
Sm: 0.0000 0.0000 0.4377 [3 per cell]
Dy: 0.0130 0.5065 0.4477 [9 per cell]
Dy: 0.0356 0.5178 0.2545 [9 per cell]

Density (Mg/m³): 8.04
Spin magnetization (μB per cell): 0.0

***

ii | VASP calculation (GGA-PBE) on an optimized crystal structure of CeSm2Dy6.

Unit cell a=6.181 b=6.183 c=16.012 alpha=97.93 beta=100.04 gamma=100.94
Space group P-1 (No. 2)
Asymmetric unit:
Ce: 0.035 0.286 0.250 [2 per cell]
Sm: 0.208 0.243 0.691 [2 per cell]
Sm: 0.446 0.982 0.191 [2 per cell]
Dy: 0.088 0.308 0.885 [2 per cell]
Dy: 0.107 0.254 0.472 [2 per cell]
Dy: 0.218 0.865 0.972 [2 per cell]
Dy: 0.336 0.768 0.401 [2 per cell]
Dy: 0.367 0.435 0.099 [2 per cell]
Dy: 0.423 0.703 0.615 [2 per cell]

Density (Mg/m³): 8.07
Spin magnetization (μB per cell): 2.3

***

Of them, i has the lowest stability.

***

i | VASP calculation (GGA-PBE) on an optimized crystal structure of CeSmDy6.

Unit cell a=5.020 b=5.020 c=10.030 alpha=90.00 beta=90.00 gamma=90.00
Space group P4/mmm (No. 123)
Asymmetric unit:
Ce: 0.000 0.000 0.000 [1 per cell]
Sm: 0.000 0.000 0.500 [1 per cell]
Dy: 0.000 0.500 0.247 [4 per cell]
Dy: 0.500 0.500 0.000 [1 per cell]
Dy: 0.500 0.500 0.500 [1 per cell]

Density (Mg/m³): 8.31
Spin magnetization (μB per cell): 0.8

***

ii | VASP calculation (GGA-PBE) on an optimized crystal structure of CeSmDy6.

Unit cell a=6.514 b=6.570 c=7.467 alpha=115.10 beta=115.68 gamma=90.03
Space group P-1 (No. 2)
Asymmetric unit:
Ce: 0.000 0.000 0.000 [1 per cell]
Sm: 0.500 0.000 0.000 [1 per cell]
Dy: 0.232 0.913 0.463 [2 per cell]
Dy: 0.249 0.499 0.000 [2 per cell]
Dy: 0.260 0.441 0.520 [2 per cell]

Density (Mg/m³): 8.27
Spin magnetization (μB per cell): 1.4

***

Of them, ii has the lowest stability.